No. 1
AgPbSe2N | PBE | relaxed

The structure in POSCAR format:
```
AgPbSe2N
1.0
5.544 0.000 0.000
0.000 5.544 0.000
0.000 0.000 4.495
Ag Pb Se N
1 1 2 1
direct
0.000 0.000 0.000
0.500 0.500 0.500
0.000 0.500 0.500
0.500 0.000 0.500
0.500 0.500 0.000
```

Results
For the total energy, the calculation gives -3.270 eV per atom. For the density of states at the Fermi level, the calculation gives 3.4 states/eV/cell. Its space group is P4/mmm, No. 123. The polymorph energy (0 for the lowest one) is 313 meV per atom.

---

No. 2
Sm5Se5N | PBE | relaxed

The structure in POSCAR format:
```
Sm5Se5N
1.0
6.440 -2.894 0.000
6.440 2.894 0.000
-2.618 0.000 7.620
Sm Se N
5 5 1
direct
0.000 0.000 0.000
0.350 0.350 0.696
0.352 0.352 0.152
0.648 0.648 0.848
0.650 0.650 0.304
0.164 0.164 0.825
0.175 0.175 0.334
0.500 0.500 0.500
0.825 0.825 0.666
0.836 0.836 0.175
0.500 0.500 0.000
```

Results
For the total energy, the calculation gives -6.220 eV per atom. For the density of states at the Fermi level, the calculation gives 3.3 states/eV/cell. Its space group is C2/m, No. 12.

---

No. 3
GaTeH | PBE | relaxed

The structure in POSCAR format:
```
GaTeH
1.0
4.200 0.000 0.000
2.099 3.639 0.000
2.036 0.521 11.491
Ga Te H
2 2 2
direct
0.000 0.000 0.000
0.187 0.277 0.361
0.378 0.348 0.893
0.909 0.963 0.226
0.742 0.868 0.643
0.842 0.720 0.599
```

Results
For the total energy, the calculation gives -3.319 eV per atom. Its space group is P1, No. 1. The polymorph energy (0 for the lowest one) is 109 meV per atom.

---

No. 4
OsCl | PBE | relaxed

The structure in POSCAR format:
```
OsCl
1.0
14.616 0.000 0.000
0.000 2.948 0.000
-3.668 0.000 7.286
Os Cl
6 6
direct
0.000 0.000 0.000
0.060 0.500 0.821
0.409 0.500 0.646
0.500 0.500 0.000
0.560 0.000 0.821
0.909 0.000 0.646
0.035 0.500 0.251
0.196 0.000 0.818
0.316 0.000 0.396
0.535 0.000 0.251
0.696 0.500 0.818
0.816 0.500 0.396
```

Results
For the total energy, the calculation gives -6.073 eV per atom. For the density of states at the Fermi level, the calculation gives 4.8 states/eV/cell. Its space group is Cm, No. 8. The polymorph energy (0 for the lowest one) is 341 meV per atom.

---

No. 5
KCrOs2 | PBE | relaxed

The structure in POSCAR format:
```
KCrOs2
1.0
8.869 0.000 0.000
0.000 2.793 0.000
-1.075 0.000 6.886
K Cr Os
2 2 4
direct
0.000 0.000 0.000
0.500 0.500 0.000
0.000 0.500 0.500
0.500 0.000 0.500
0.212 0.000 0.635
0.288 0.500 0.365
0.712 0.500 0.635
0.788 0.000 0.365
```

Results
For the total energy, the calculation gives -7.336 eV per atom. For the density of states at the Fermi level, the calculation gives 6.3 states/eV/cell. Its space group is C2/m, No. 12. The polymorph energy (0 for the lowest one) is 265 meV per atom. The calculation puts the formation energy at 0.959 eV/atom.

---

No. 6
CrHPd3 | PBE | relaxed

The structure in POSCAR format:
```
CrHPd3
1.0
4.543 -5.497 0.000
4.543 5.497 0.000
-0.025 0.000 4.875
Cr H Pd
4 4 12
direct
0.032 0.154 0.117
0.154 0.032 0.617
0.846 0.968 0.383
0.968 0.846 0.883
0.312 0.688 0.250
0.441 0.559 0.750
0.559 0.441 0.250
0.688 0.312 0.750
0.051 0.699 0.400
0.180 0.570 0.908
0.298 0.419 0.395
0.301 0.949 0.100
0.419 0.298 0.895
0.430 0.820 0.592
0.570 0.180 0.408
0.581 0.702 0.105
0.699 0.051 0.900
0.702 0.581 0.605
0.820 0.430 0.092
0.949 0.301 0.600
```

Results
For the total energy, the calculation gives -5.693 eV per atom. For the density of states at the Fermi level, the calculation gives 13.5 states/eV/cell. Its space group is C2/c, No. 15. The polymorph energy (0 for the lowest one) is 107 meV per atom.

---

Number 1: theoretical density 5.9 Mg/m³. Number 2: theoretical density 6.8 Mg/m³. Number 3: theoretical density 3.8 Mg/m³. Number 4: theoretical density 7.2 Mg/m³. Number 5: theoretical density 9.2 Mg/m³. Number 6: theoretical density 10.2 Mg/m³.